(1)
The following is a DFT calculation (PBE) of a geometry-optimized Ce2PbI structure.

Cell: 4.4953 4.4953 23.7978 Å, 90.00 90.00 120.00°
Space group R3m (No. 160, hexagonal axes)
Inequivalent atoms, fractional coordinates:
Ce 0.0000 0.0000 0.0000
Ce 0.0000 0.0000 0.1811
Pb 0.0000 0.0000 0.5889
I 0.0000 0.0000 0.7593

Computed properties:
The total DFT energy (no corrections) comes out at -58.0 eV per cell. The value obtained for the polymorph energy (0 for the lowest one) is 0.0684 eV per atom.

***

(2)
The following is a DFT calculation (PBE) of a geometry-optimized CePbI2 structure.

Cell: 3.9383 3.9383 33.4901 Å, 90.00 90.00 120.00°
Space group R-3m (No. 166, hexagonal axes)
Inequivalent atoms, fractional coordinates:
Ce 0.0000 0.0000 0.0000
Pb 0.0000 0.0000 0.5000
I 0.0000 0.0000 0.4001

Computed properties:
The total DFT energy (no corrections) comes out at -46.6 eV per cell.

***

| no. | size of the total moment (Bohr magnetons per cell) | Fermi-level density of states (states/eV/atom) |
| --- | --- | --- |
| 1 | 7.911 | 3.76 |
| 2 | 3.980 | 1.50 |